# 1
Below is ZnTc3Au after structural relaxation, with properties calculated at the GGA-PBE level.

Unit cell a=4.9667 b=4.9667 c=4.9667 alpha=90.00 beta=90.00 gamma=90.00
With the nearest neighbours (Å) after each atom.
Space group Pm-3m (No. 221)
Asymmetric unit:
Zn1 0.0000 0.0000 0.0000 x1  12 Tc 3.51
Tc1 0.0000 0.5000 0.5000 x3  2 Au 2.48
Au1 0.5000 0.5000 0.5000 x1  6 Tc 2.48

Calculated values
formation enthalpy at 0 K	2267	meV per atom
energy above the lowest structure with this stoichiometry	55.56	kJ per mole of atoms



# 2
Below is LiTl2As after structural relaxation, with properties calculated at the GGA-PBE level.

Unit cell a=6.2057 b=10.5680 c=3.2955 alpha=90.00 beta=113.35 gamma=90.00
With the nearest neighbours (Å) after each atom.
Space group C2/m (No. 12)
Asymmetric unit:
Li1 0.0000 0.0000 0.0000 x2  2 As 3.10, 4 Tl 3.17, 2 Li 3.30
Tl1 0.2500 0.2500 0.5000 x4  4 Tl 3.10-3.30, 2 Li 3.17, 2 As 3.17
As1 0.0000 0.5000 0.0000 x2  2 Li 3.10, 4 Tl 3.17, 2 As 3.30

Calculated values
formation enthalpy at 0 K	17	meV per atom
energy above the lowest structure with this stoichiometry	24.11	kJ per mole of atoms



# 3
Below is KHf3Sn after structural relaxation, with properties calculated at the GGA-PBE level.

Unit cell a=4.9410 b=4.9410 c=4.9410 alpha=90.00 beta=90.00 gamma=90.00
With the nearest neighbours (Å) after each atom.
Space group Pm-3m (No. 221)
Asymmetric unit:
K1 0.0000 0.0000 0.0000 x1  6 Hf 2.47
Hf1 0.0000 0.0000 0.5000 x3  2 K 2.47
Sn1 0.5000 0.5000 0.5000 x1  12 Hf 3.49

Calculated values
formation enthalpy at 0 K	2002	meV per atom
energy above the lowest structure with this stoichiometry	74.06	kJ per mole of atoms



# 4
Below is ZnNi2PbC after structural relaxation, with properties calculated at the GGA-PBE level.

Unit cell a=3.7901 b=3.7901 c=5.4606 alpha=90.00 beta=90.00 gamma=90.00
With the nearest neighbours (Å) after each atom.
Space group P4/mmm (No. 123)
Asymmetric unit:
Zn1 0.0000 0.0000 0.0000 x1  4 Pb 2.68
Ni1 0.0000 0.5000 0.5000 x2  2 C 1.90
Pb1 0.5000 0.5000 0.0000 x1  4 Zn 2.68, 2 C 2.73
C1 0.5000 0.5000 0.5000 x1  4 Ni 1.90

Calculated values
formation enthalpy at 0 K	547	meV per atom



# 5
Below is CeSmDyAg after structural relaxation, with properties calculated at the GGA-PBE level.

Unit cell a=7.5438 b=7.5438 c=7.5438 alpha=90.00 beta=90.00 gamma=90.00
With the nearest neighbours (Å) after each atom.
Space group F-43m (No. 216)
Asymmetric unit:
Ce1 0.0000 0.0000 0.0000 x4  4 Sm 3.27, 4 Dy 3.27
Sm1 0.2500 0.2500 0.7500 x4  4 Ce 3.27, 4 Ag 3.27
Dy1 0.2500 0.2500 0.2500 x4  4 Ce 3.27, 4 Ag 3.27
Ag1 0.0000 0.0000 0.5000 x4  4 Dy 3.27, 4 Sm 3.27

Calculated values
formation enthalpy at 0 K	131	meV per atom



# 6
Below is Cs2NpClF6 after structural relaxation, with properties calculated at the GGA-PBE level.

Unit cell a=6.1543 b=6.1543 c=7.1784 alpha=90.00 beta=90.00 gamma=120.00
With the nearest neighbours (Å) after each atom.
Space group P-3m1 (No. 164)
Asymmetric unit:
Cs1 0.3333 0.6667 0.1858 x2  6 F 3.31
Np1 0.0000 0.0000 0.5000 x1  6 F 2.08
Cl1 0.0000 0.0000 0.0000 x1  6 F 3.12
F1 0.1691 0.3382 0.6459 x6  1 Np 2.08

Calculated values
energy relative to the elements, uncorrected	-2.9150	eV per atom



Number 1: size of the total moment 8.6 μB/f.u.. Number 2: size of the total moment 0.0 μB/f.u.. Number 3: size of the total moment 1.3 μB/f.u.. Number 4: size of the total moment 0.0 μB/f.u.. Number 5: size of the total moment 2.9 μB/f.u.. Number 6: size of the total moment 2.0 μB/f.u..